SCAN SrCo2P2, PBEsol geometry; formation energy = -821 meV per atom; density = 5592 kg/m3; density of states at the Fermi level = 2.85 states/eV per cell; total energy = -16.3576 eV per atom; total magnetization = 0.9 μB per formula unit
1.0
3.7270 0.0000 0.0000
0.0000 3.7270 0.0000
-1.8635 -1.8635 5.7169
Sr Co P
1 2 2
Direct
0.0000 0.0000 0.0000
0.7500 0.2500 0.5000
0.2500 0.7500 0.5000
0.6497 0.6497 0.2995
0.3503 0.3503 0.7005